AlIr | PBE | relaxed Values from VASP.

Values from the calculation:
SG: P6_3/mmc, No. 194
formation energy from the elements: -93 meV/atom
DOS(E_F): 1.229 states/eV per atom
total energy: -6.39 eV per atom

Cell and atoms, written as Quantum ESPRESSO input:
```
&SYSTEM
  ibrav = 0, nat = 8, ntyp = 2
/
ATOMIC_SPECIES
Al 26.98 Al.upf
Ir 192.22 Ir.upf
CELL_PARAMETERS angstrom
4.220 0.000 0.000
-2.110 3.655 0.000
0.000 0.000 7.938
ATOMIC_POSITIONS crystal
Al 0.000 0.000 0.250
Al 0.000 0.000 0.750
Al 0.333 0.667 0.250
Al 0.667 0.333 0.750
Ir 0.333 0.667 0.587
Ir 0.333 0.667 0.913
Ir 0.667 0.333 0.087
Ir 0.667 0.333 0.413
```

=====

Al2Ir | PBE | relaxed Values from VASP.

Values from the calculation:
SG: P6_3/mmc, No. 194
formation energy from the elements: -546 meV/atom
DOS(E_F): 0.787 states/eV per atom
total energy: -6.00 eV per atom

Cell and atoms, written as Quantum ESPRESSO input:
```
&SYSTEM
  ibrav = 0, nat = 6, ntyp = 2
/
ATOMIC_SPECIES
Al 26.98 Al.upf
Ir 192.22 Ir.upf
CELL_PARAMETERS angstrom
4.325 0.000 0.000
-2.162 3.745 0.000
0.000 0.000 5.451
ATOMIC_POSITIONS crystal
Al 0.000 0.000 0.000
Al 0.000 0.000 0.500
Al 0.333 0.667 0.250
Al 0.667 0.333 0.750
Ir 0.333 0.667 0.750
Ir 0.667 0.333 0.250
```

=====

Al2Ir | PBE | relaxed Values from VASP.

Values from the calculation:
SG: P-1, No. 2
formation energy from the elements: -721 meV/atom
DOS(E_F): 0.195 states/eV per atom
total energy: -6.17 eV per atom

Cell and atoms, written as Quantum ESPRESSO input:
```
&SYSTEM
  ibrav = 0, nat = 6, ntyp = 2
/
ATOMIC_SPECIES
Al 26.98 Al.upf
Ir 192.22 Ir.upf
CELL_PARAMETERS angstrom
3.009 0.000 0.000
-1.503 4.635 0.000
-1.494 -1.704 6.614
ATOMIC_POSITIONS crystal
Al 0.096 0.249 0.443
Al 0.226 0.833 0.119
Al 0.774 0.167 0.881
Al 0.904 0.751 0.557
Ir 0.447 0.588 0.807
Ir 0.553 0.412 0.193
```

=====

Al5Ir3 | PBE | relaxed Values from VASP.

Values from the calculation:
SG: Cmmm, No. 65
formation energy from the elements: -693 meV/atom
DOS(E_F): 0.128 states/eV per atom
total energy: -6.35 eV per atom

Cell and atoms, written as Quantum ESPRESSO input:
```
&SYSTEM
  ibrav = 0, nat = 8, ntyp = 2
/
ATOMIC_SPECIES
Al 26.98 Al.upf
Ir 192.22 Ir.upf
CELL_PARAMETERS angstrom
3.296 -4.179 0.000
3.296 4.179 0.000
0.000 0.000 4.113
ATOMIC_POSITIONS crystal
Al 0.000 0.000 0.000
Al 0.000 0.500 0.000
Al 0.269 0.269 0.500
Al 0.500 0.000 0.000
Al 0.731 0.731 0.500
Ir 0.230 0.770 0.500
Ir 0.500 0.500 0.000
Ir 0.770 0.230 0.500
```